This record from the Alexandria database describes an optimized crystal structure of Hf6Ge2As. The functional is PBE.

**Formation enthalpy at 0 K**: -531 meV per atom

Cell and atoms, written as CIF:
```
data_Hf6Ge2As
_chemical_formula_sum 'Hf12 Ge4 As2'
_cell_length_a 5.599
_cell_length_b 7.335
_cell_length_c 10.439
_cell_angle_alpha 90.00
_cell_angle_beta 121.54
_cell_angle_gamma 90.00
_space_group_name_H-M_alt 'P 1 21/c 1'
_space_group_IT_number 14
_space_group_name_Hall '-P 2ybc'
loop_
_atom_site_label
_atom_site_type_symbol
_atom_site_fract_x
_atom_site_fract_y
_atom_site_fract_z
Hf1 Hf 0.057 0.189 0.442
Hf2 Hf 0.310 0.665 0.443
Hf3 Hf 0.339 0.029 0.215
Ge1 Ge 0.160 0.119 0.747
As1 As 0.500 0.000 0.500
```